[1]
{"formula": "Pm3UIr8", "functional": "PBE", "state": "optimized geometry", "cell": [[-1.7227, -4.9132, -1.4467], [2.5886, -2.7378, -3.8734], [5.5389, -6.1793, 4.3011]], "species": ["Pm", "Pm", "Pm", "U", "Ir", "Ir", "Ir", "Ir", "Ir", "Ir", "Ir", "Ir"], "frac_coords": [[0.6256, 0.6256, 0.1234], [0.9994, 0.9994, 0.0018], [0.5007, 0.5007, 0.4981], [0.1243, 0.1243, 0.6269], [0.5625, 0.0670, 0.8080], [0.0628, 0.5576, 0.3170], [0.5626, 0.5626, 0.8078], [0.0626, 0.0626, 0.3170], [0.8125, 0.8125, 0.5624], [0.3125, 0.3125, 0.0626], [0.0670, 0.5625, 0.8080], [0.5576, 0.0628, 0.3170]], "dos_at_fermi_per_ev_atom": 0.938, "crystal_system": "trigonal"}

[2]
{"formula": "SbOs2Au", "functional": "PBE", "state": "optimized geometry", "cell": [[-1.6214, 2.4281, -0.6077], [-0.8699, -2.6175, -1.1340], [-4.9925, -1.5055, 7.3050]], "species": ["Au", "Os", "Os", "Sb"], "frac_coords": [[0.5000, 0.5000, 0.7500], [0.0000, 0.0000, 0.0153], [0.0000, 0.0000, 0.4847], [0.5000, 0.5000, 0.2500]], "dos_at_fermi_per_ev_atom": 0.828, "crystal_system": "orthorhombic"}

| no. | energy (Ry/atom) |
| --- | --- |
| 1 | -0.639 |
| 2 | -0.474 |